This record from Alexandria describes PmAg3Pb after structural relaxation. The functional is PBE-GGA.

formation enthalpy at 0 K	-0.133	eV per atom
N(E_F)	0.448	states/eV per atom
magnetization	0.00	μB/f.u.

Lattice parameters (Å, degrees): 14.4274 14.4274 4.8086 90.00 90.00 166.31
Atoms (fractional coordinates):
Pm (0.0736, 0.9264, 0.7500)
Pm (0.9264, 0.0736, 0.2500)
Ag (0.3253, 0.6747, 0.2500)
Ag (0.3775, 0.6225, 0.7500)
Ag (0.4749, 0.5251, 0.7500)
Ag (0.5251, 0.4749, 0.2500)
Ag (0.6225, 0.3775, 0.2500)
Ag (0.6747, 0.3253, 0.7500)
Pb (0.2141, 0.7859, 0.2500)
Pb (0.7859, 0.2141, 0.7500)